A plane-wave DFT calculation with PBE was carried out for crystalline Sc6In2Ni at its relaxed geometry.

Computed properties:
Energy of formation from the pure elements = -0.35 eV per atom

Structure (CIF):
```
data_Sc6In2Ni
_chemical_formula_sum 'Sc6 In2 Ni1'
_space_group_name_H-M_alt 'P 1'
_space_group_IT_number 1
_cell_length_a 8.171
_cell_length_b 8.171
_cell_length_c 3.488
_cell_angle_alpha 90.00
_cell_angle_beta 90.00
_cell_angle_gamma 120.00
loop_
_space_group_symop_operation_xyz
'x,y,z'
loop_
_atom_site_label
_atom_site_type_symbol
_atom_site_fract_x
_atom_site_fract_y
_atom_site_fract_z
Sc1 Sc 0.000 0.241 0.000
Sc2 Sc 0.000 0.613 0.500
Sc3 Sc 0.241 0.000 0.000
Sc4 Sc 0.387 0.387 0.500
Sc5 Sc 0.613 0.000 0.500
Sc6 Sc 0.759 0.759 0.000
In1 In 0.333 0.667 0.000
In2 In 0.667 0.333 0.000
Ni1 Ni 0.000 0.000 0.500
```